An optimized crystal structure of YHfSbTe2. Source: Alexandria, functional PBE-GGA.

Results
Formation energy (no corrections) (eV/atom): 0.490
Space group: P4/mmm (123)
M_tot (μB per atom): 0.117
Energy above the lowest structure with this stoichiometry (meV per atom): 724.2

```
YHfSbTe2
1.0
-3.721 -2.581 3.406
4.240 -1.670 3.367
-0.537 4.820 3.066
Y Sb Te Hf
1 1 2 1
Direct
0.000 0.000 0.000 Y
0.000 0.000 0.500 Sb
0.000 0.500 0.000 Te
0.500 0.000 0.000 Te
0.500 0.500 0.500 Hf
```